1.
VASP calculation (PBE) on a relaxed structure of KNaClF2.

## Properties
As for the uncorrected formation energy: -1.062 eV/atom.

Unit cell a=5.6094 b=5.2101 c=5.6094 alpha=90.00 beta=90.00 gamma=90.00
Closest atoms and distances in Å follow each position.
Fractional positions:
1 Na 0.5000 0.5000 0.5000  8 F 3.83, 4 K 3.97
2 K 0.0000 0.5000 0.0000  2 Cl 2.61
3 F 0.0000 0.0000 0.5000  2 Cl 2.80
4 F 0.5000 0.0000 0.0000  2 Cl 2.80
5 Cl 0.0000 0.0000 0.0000  2 K 2.61, 4 F 2.80

2.
VASP calculation (PBE) on a relaxed structure of SiTe2IrN.

## Properties
As for the uncorrected formation energy: 0.531 eV/atom. Its energy above the most stable polymorph in this dataset is 0 meV per atom.

Unit cell a=5.5078 b=5.5078 c=3.6559 alpha=90.00 beta=90.00 gamma=90.00
Closest atoms and distances in Å follow each position.
Fractional positions:
1 Si 0.5000 0.5000 0.5000  8 Te 3.31, 2 Si 3.66
2 Ir 0.0000 0.0000 0.0000  2 N 1.83
3 Te 0.0000 0.5000 0.0000  2 Ir 2.75
4 Te 0.5000 0.0000 0.0000  2 Ir 2.75
5 N 0.0000 0.0000 0.5000  2 Ir 1.83

3.
VASP calculation (PBE) on a relaxed structure of Ag2Hg4F9.

## Properties
As for the uncorrected formation energy: -1.242 eV/atom.

Unit cell a=6.1994 b=6.2038 c=15.7195 alpha=89.99 beta=89.94 gamma=59.98
Closest atoms and distances in Å follow each position.
Fractional positions:
1 Ag 0.9996 0.0002 0.3555  6 F 2.46-2.55
2 Ag 0.9996 0.0001 0.1442  6 F 2.46-2.56
3 Ag 0.0004 0.9998 0.6445  6 F 2.46-2.55
4 Ag 0.0004 0.9999 0.8558  6 F 2.46-2.56
5 Hg 0.3335 0.3332 0.9709  6 F 2.33-2.50
6 Hg 0.3334 0.3334 0.4710  6 F 2.34-2.50
7 Hg 0.6665 0.6668 0.0291  6 F 2.33-2.50
8 Hg 0.3329 0.3333 0.1905  6 F 2.33-2.48
9 Hg 0.6666 0.6666 0.5290  6 F 2.34-2.50
10 Hg 0.6662 0.6665 0.3094  6 F 2.33-2.48
11 Hg 0.3338 0.3335 0.6906  6 F 2.33-2.48
12 Hg 0.6671 0.6667 0.8095  6 F 2.33-2.48
13 F 0.0006 0.3125 0.7502  2 Hg 2.33, 2 Ag 2.55
14 F 0.3136 0.6869 0.7500  2 Hg 2.33, 2 Ag 2.55-2.56
15 F 0.6871 0.0004 0.7503  2 Hg 2.33, 2 Ag 2.55
16 F 0.9994 0.6875 0.2498  2 Hg 2.33, 2 Ag 2.55
17 F 0.6864 0.3131 0.2500  2 Hg 2.33, 2 Ag 2.55-2.56
18 F 0.3129 0.9996 0.2497  2 Hg 2.33, 2 Ag 2.55
19 F 0.6582 0.9595 0.4179  3 Hg 2.34-2.50, 1 Ag 2.46
20 F 0.9599 0.3817 0.4179  3 Hg 2.34-2.50, 1 Ag 2.46
21 F 0.3810 0.6592 0.4183  3 Hg 2.34-2.50, 1 Ag 2.46
22 F 0.6182 0.0405 0.0817  3 Hg 2.34-2.50, 1 Ag 2.46
23 F 0.3411 0.6180 0.0818  3 Hg 2.34-2.50, 1 Ag 2.46
24 F 0.0400 0.3415 0.0819  3 Hg 2.33-2.50, 1 Ag 2.46
25 F 0.3418 0.0405 0.5821  3 Hg 2.34-2.50, 1 Ag 2.46
26 F 0.0401 0.6183 0.5821  3 Hg 2.34-2.50, 1 Ag 2.46
27 F 0.6190 0.3408 0.5817  3 Hg 2.34-2.50, 1 Ag 2.46
28 F 0.3818 0.9595 0.9183  3 Hg 2.34-2.50, 1 Ag 2.46
29 F 0.6589 0.3820 0.9182  3 Hg 2.34-2.50, 1 Ag 2.46
30 F 0.9600 0.6585 0.9181  3 Hg 2.33-2.50, 1 Ag 2.46

4.
VASP calculation (PBE) on a relaxed structure of RbMg7.

## Properties
Its energy above the most stable polymorph in this dataset is 0 meV per atom.

Unit cell a=6.8757 b=6.8757 c=5.4568 alpha=90.00 beta=90.00 gamma=120.00
Closest atoms and distances in Å follow each position.
Fractional positions:
1 Rb 0.6667 0.3333 0.5000  12 Mg 3.44-3.48
2 Mg 0.1628 0.3255 0.5000  10 Mg 3.31-3.52, 2 Rb 3.44
3 Mg 0.6745 0.8372 0.5000  10 Mg 3.31-3.52, 2 Rb 3.44
4 Mg 0.1628 0.8372 0.5000  10 Mg 3.31-3.52, 2 Rb 3.44
5 Mg 0.8487 0.1513 0.0000  8 Mg 3.12-3.44, 2 Rb 3.48
6 Mg 0.3026 0.1513 0.0000  8 Mg 3.12-3.44, 2 Rb 3.48
7 Mg 0.8487 0.6974 0.0000  8 Mg 3.12-3.44, 2 Rb 3.48
8 Mg 0.3333 0.6667 0.0000  12 Mg 3.40-3.44